Record 1
# La6AgSe2Br3

A relaxed structure of La6AgSe2Br3 (PBE-GGA, Alexandria).

Formation energy (no corrections) in kJ per mole of atoms: -128.9

Geometry as POSCAR:
```
La6AgSe2Br3
1.0
-4.2228 1.8187 6.0328
-3.3218 -1.6518 -6.6160
2.2199 -6.8549 2.0390
La Ag Se Br
6 1 2 3
direct
0.9194 0.5776 0.7583
0.7339 0.7339 0.2332
0.0806 0.4224 0.2417
0.5776 0.9194 0.7583
0.2661 0.2661 0.7668
0.4224 0.0806 0.2417
0.0000 0.0000 0.0000
0.3315 0.6685 0.0000
0.6685 0.3315 0.0000
0.1605 0.8395 0.5000
0.8395 0.1605 0.5000
0.5000 0.5000 0.5000
```


Record 2
# LaAgSe2Br

A relaxed structure of LaAgSe2Br (PBE-GGA, Alexandria).

Energy above the lowest structure with this stoichiometry in meV per atom: 0
Formation energy (no corrections) in kJ per mole of atoms: -67.0

Geometry as POSCAR:
```
LaAgSe2Br
1.0
5.1642 0.0000 0.0000
0.0000 5.1642 0.0000
0.0000 0.0000 5.0884
Se Br Ag La
2 1 1 1
direct
0.0000 0.5000 0.0000
0.5000 0.0000 0.0000
0.0000 0.0000 0.5000
0.0000 0.0000 0.0000
0.5000 0.5000 0.5000
```


Record 3
# La4AgSe2Br

A relaxed structure of La4AgSe2Br (PBE-GGA, Alexandria).

Formation energy (no corrections) in kJ per mole of atoms: -131.6

Geometry as POSCAR:
```
La4AgSe2Br
1.0
-4.2721 0.4415 -0.5481
0.5828 -3.0348 -6.9880
-0.8294 -7.4621 0.4539
La Ag Se Br
4 1 2 1
direct
0.0000 0.7625 0.7463
0.0000 0.2375 0.2537
0.5000 0.7680 0.2434
0.5000 0.2320 0.7566
0.5000 0.5000 0.0000
0.0000 0.0000 0.0000
0.5000 0.0000 0.5000
0.0000 0.5000 0.5000
```


Record 4
# LaAgSe2Br

A relaxed structure of LaAgSe2Br (PBE-GGA, Alexandria).

Energy above the lowest structure with this stoichiometry in meV per atom: 165
Formation energy (no corrections) in kJ per mole of atoms: -51.1

Geometry as POSCAR:
```
LaAgSe2Br
1.0
5.7537 0.0000 0.0000
0.0000 5.7537 0.0000
0.0000 0.0000 5.8264
Se Br Ag La
2 1 1 1
direct
0.0000 0.5000 0.0000
0.5000 0.0000 0.0000
0.0000 0.0000 0.5000
0.5000 0.5000 0.5000
0.0000 0.0000 0.0000
```


Record 5
# La8Si3AgBr4

A relaxed structure of La8Si3AgBr4 (PBE-GGA, Alexandria).

Formation energy (no corrections) in kJ per mole of atoms: -99.9

Geometry as POSCAR:
```
La8Si3AgBr4
1.0
-8.5760 0.5635 1.9839
-0.5323 -8.7983 0.1980
5.9631 4.1768 4.9829
La Si Ag Br
8 3 1 4
direct
0.2502 0.7299 0.9798
0.2504 0.7300 0.5008
0.2599 0.2797 0.5197
0.7295 0.7299 0.9798
0.2705 0.2701 0.0202
0.7401 0.7203 0.4803
0.7496 0.2700 0.4992
0.7498 0.2701 0.0202
0.5000 0.5000 0.0000
0.5000 0.5000 0.5000
0.0000 0.5000 0.5000
0.0000 0.5000 0.0000
0.5000 0.0000 0.0000
0.5000 0.0000 0.5000
0.0000 0.0000 0.0000
0.0000 0.0000 0.5000
```


Record 6
# La6Tc2AgBr3

A relaxed structure of La6Tc2AgBr3 (PBE-GGA, Alexandria).

Formation energy (no corrections) in kJ per mole of atoms: -69.0

Geometry as POSCAR:
```
La6Tc2AgBr3
1.0
-2.0242 -2.0777 3.0275
0.1809 -7.8895 -5.2934
9.1941 1.4690 4.2518
La Tc Ag Br
6 2 1 3
direct
0.3353 0.8759 0.6705
0.6789 0.5546 0.3579
0.6647 0.1241 0.3295
0.0241 0.2533 0.0481
0.9759 0.7467 0.9519
0.3211 0.4454 0.6421
0.8464 0.6748 0.6927
0.1536 0.3252 0.3073
0.5000 0.0000 0.0000
0.5000 0.5000 0.0000
0.8307 0.1677 0.6613
0.1693 0.8323 0.3387
```


Record 7
# LaTlAg2Br6

A relaxed structure of LaTlAg2Br6 (PBE-GGA, Alexandria).

Formation energy (no corrections) in kJ per mole of atoms: -103.9

Geometry as POSCAR:
```
LaTlAg2Br6
1.0
7.5417 0.0022 0.0006
3.7728 6.5293 -0.0008
3.7715 2.1763 6.8668
La Tl Ag Br
1 1 2 6
direct
0.3236 0.3234 0.0295
0.8065 0.8067 0.5797
0.5135 0.5135 0.4595
0.0007 0.0011 0.9973
0.6021 0.2563 0.2351
0.2563 0.9064 0.2353
0.9065 0.6017 0.2356
0.3489 0.7429 0.7480
0.7430 0.1603 0.7475
0.1605 0.3493 0.7477
```


Record 8
# LaAgWBr2

A relaxed structure of LaAgWBr2 (PBE-GGA, Alexandria).

Formation energy (no corrections) in kJ per mole of atoms: 66.9

Geometry as POSCAR:
```
LaAgWBr2
1.0
-1.7199 1.7690 5.1592
2.6963 -4.4266 2.4166
5.2713 3.5126 0.5528
Br Ag W La
2 1 1 1
direct
0.0000 0.5000 0.0000
0.5000 0.0000 0.0000
0.5000 0.5000 0.5000
0.0000 0.0000 0.5000
0.0000 0.0000 0.0000
```